(1)
Density functional theory data (GGA-PBE) for a relaxed structure of TbCe2HoSe5.

Output
Its space group is P4/mmm, No. 123. For the total energy, the calculation gives -5.581 eV per atom. The calculation puts the formation energy without anion corrections at -1.30 eV per atom.

a = 5.1250 Å, b = 5.1250 Å, c = 10.7843 Å
α = 90.00°, β = 90.00°, γ = 90.00°
With the nearest neighbours (Å) after each atom.
Element x y z (fractional)
Se 0.0000 0.0000 0.2454  1 Tb 2.65, 1 Ho 2.75
Ce 0.5000 0.5000 0.6974  5 Se 3.26-3.33
Se 0.0000 0.5000 0.5000  2 Ho 2.56
Ce 0.5000 0.5000 0.3026  5 Se 3.26-3.33
Ho 0.0000 0.0000 0.5000  6 Se 2.56-2.75
Tb 0.0000 0.0000 0.0000  2 Se 2.65
Se 0.5000 0.0000 0.5000  2 Ho 2.56
Se 0.0000 0.0000 0.7546  1 Tb 2.65, 1 Ho 2.75
Se 0.5000 0.5000 0.0000  2 Ce 3.26, 4 Tb 3.62

---

(2)
Density functional theory data (GGA-PBE) for a relaxed structure of AlAg2Pt.

Output
The value obtained for the formation energy from the elements is -18.7 meV per atom. Its space group is P4/mmm, No. 123. For the total energy, the calculation gives -3.890 eV per atom. For the excess energy over the best structure of this formula in the dataset, the calculation gives 334.6 meV per atom.

a = 2.9070 Å, b = 2.9070 Å, c = 7.7973 Å
α = 90.00°, β = 90.00°, γ = 90.00°
With the nearest neighbours (Å) after each atom.
Element x y z (fractional)
Pt 0.5000 0.5000 0.7500  8 Ag 2.89, 4 Pt 2.91
Ag 0.0000 0.0000 0.4904  4 Al 2.78, 4 Pt 2.89, 4 Ag 2.91
Ag 0.0000 0.0000 0.0096  4 Al 2.78, 4 Pt 2.89, 4 Ag 2.91
Al 0.5000 0.5000 0.2500  8 Ag 2.78, 4 Al 2.91

---

(3)
Density functional theory data (GGA-PBE) for a relaxed structure of BaRhCl2.

Output
Its space group is Imm2, No. 44. For the total energy, the calculation gives -4.125 eV per atom. For the excess energy over the best structure of this formula in the dataset, the calculation gives 201.1 meV per atom. The calculation puts the formation energy without anion corrections at -0.88 eV per atom.

a = 7.9323 Å, b = 7.9323 Å, c = 7.9323 Å
α = 152.71°, β = 151.32°, γ = 40.01°
With the nearest neighbours (Å) after each atom.
Element x y z (fractional)
Cl 0.7164 0.2164 0.5000  4 Ba 3.10
Ba 0.3165 0.8165 0.5000  6 Cl 3.10-3.18, 2 Rh 3.11
Cl 0.9843 0.9843 0.0000  4 Rh 2.71
Rh 0.4829 0.4829 0.0000  4 Cl 2.71

---

(4)
Density functional theory data (GGA-PBE) for a relaxed structure of Mn3RhBr8.

Output
Its space group is C222, No. 21. For the total energy, the calculation gives -4.593 eV per atom. The calculation puts the formation energy without anion corrections at -0.57 eV per atom.

a = 6.7277 Å, b = 6.7277 Å, c = 7.7595 Å
α = 90.00°, β = 90.00°, γ = 109.05°
With the nearest neighbours (Å) after each atom.
Element x y z (fractional)
Br 0.2697 0.2472 0.7470  2 Mn 2.62-2.72, 1 Rh 2.69
Rh 0.5000 0.5000 0.5000  6 Br 2.50-2.69
Br 0.7303 0.7528 0.7470  2 Mn 2.62-2.72, 1 Rh 2.69
Br 0.7279 0.2721 0.5000  1 Rh 2.50, 2 Mn 2.78
Br 0.2582 0.7418 0.0000  3 Mn 2.65-2.74
Br 0.7528 0.7303 0.2530  2 Mn 2.62-2.72, 1 Rh 2.69
Mn 0.5000 0.5000 0.0000  6 Br 2.65-2.72
Br 0.7418 0.2582 0.0000  3 Mn 2.65-2.74
Mn 0.0000 0.5000 0.2473  6 Br 2.62-2.78
Br 0.2472 0.2697 0.2530  2 Mn 2.62-2.72, 1 Rh 2.69
Mn 0.5000 0.0000 0.7527  6 Br 2.62-2.78
Br 0.2721 0.7279 0.5000  1 Rh 2.50, 2 Mn 2.78

---

(5)
Density functional theory data (GGA-PBE) for a relaxed structure of MnZn2Se.

Output
Its space group is P4mm, No. 99. For the total energy, the calculation gives -3.736 eV per atom. The calculation puts the formation energy without anion corrections at 0.06 eV per atom.

a = 2.8666 Å, b = 2.8666 Å, c = 7.9759 Å
α = 90.00°, β = 90.00°, γ = 90.00°
With the nearest neighbours (Å) after each atom.
Element x y z (fractional)
Se 0.5000 0.5000 0.6672  4 Mn 2.42
Zn 0.0000 0.0000 0.0473  8 Zn 2.77-2.87
Mn 0.0000 0.0000 0.5023  4 Se 2.42, 4 Zn 2.68
Zn 0.5000 0.5000 0.2833  4 Mn 2.68, 8 Zn 2.77-2.87

---

(6)
Density functional theory data (GGA-PBE) for a relaxed structure of Mg4SbPt.

Output
Its space group is F-43m, No. 216. For the total energy, the calculation gives -2.753 eV per atom. The calculation puts the formation energy without anion corrections at 0.00 eV per atom.

a = 5.5946 Å, b = 5.5946 Å, c = 5.5946 Å
α = 60.00°, β = 60.00°, γ = 60.00°
With the nearest neighbours (Å) after each atom.
Element x y z (fractional)
Sb 0.0000 0.0000 0.0000  12 Mg 3.28, 4 Pt 3.43
Mg 0.3758 0.3758 0.3758  6 Mg 2.78-2.81
Mg 0.8727 0.3758 0.3758  6 Mg 2.78-2.81
Pt 0.7500 0.7500 0.7500  12 Mg 3.28, 4 Sb 3.43
Mg 0.3758 0.8727 0.3758  6 Mg 2.78-2.81
Mg 0.3758 0.3758 0.8727  6 Mg 2.78-2.81